The following is a DFT calculation (PBE-GGA) of a relaxed TaAgHg2 crystal.

## Properties
Its total magnetic moment is 0.000 μB per atom. For the energy of formation from the pure elements, the calculation gives 0.586 eV/atom. The density of states at the Fermi level is 3.58 states/eV/cell. As for the total energy: -3.240 eV/atom. As for the space-group type: No. 119.

Cell: 5.2789 5.2789 5.2789 Å, 132.34 132.34 69.69°
Last column: nearest neighbours and their distance in Å.
Positions (direct):
Hg 0.0000 0.0000 0.0000  4 Ta 3.02, 4 Hg 3.04, 4 Ag 3.04
Hg 0.2500 0.7500 0.5000  4 Ag 3.02, 4 Hg 3.04, 4 Ta 3.04
Ag 0.7500 0.2500 0.5000  8 Hg 3.02-3.04, 4 Ta 3.04
Ta 0.5000 0.5000 0.0000  8 Hg 3.02-3.04, 4 Ag 3.04